(1)
Entry from the Open Quantum Materials Database: a geometry-optimized RbTe8AuSe2 structure (PBE).

```
RbTe8AuSe2
1.0
2.8248 4.2952 -5.5154
-3.1848 0.6795 -6.8002
-4.4746 4.8290 7.3400
Te Rb Se Au
8 1 2 1
direct
0.5973 0.1390 0.7515
0.1451 0.1451 0.8775
0.8549 0.8549 0.1225
0.1706 0.1706 0.4953
0.8610 0.4027 0.2485
0.8294 0.8294 0.5047
0.1390 0.5973 0.7515
0.4027 0.8610 0.2485
0.5000 0.5000 0.5000
0.6493 0.6493 0.9202
0.3507 0.3507 0.0798
0.0000 0.0000 0.0000
```

Calculated values
Total DFT energy (no corrections), eV/atom: -3.07
Crystal system: monoclinic


(2)
Entry from the Open Quantum Materials Database: a geometry-optimized TbErB structure (PBE).

```
TbErB
1.0
0.0000 3.1915 3.1915
3.1915 0.0000 3.1915
3.1915 3.1915 0.0000
Tb Er B
1 1 1
direct
0.2500 0.2500 0.2500
0.7500 0.7500 0.7500
0.0000 0.0000 0.0000
```

Calculated values
Total DFT energy (no corrections), eV/atom: -5.22
Crystal system: cubic


(3)
Entry from the Open Quantum Materials Database: a geometry-optimized Sm2AuSe3 structure (PBE).

```
Sm2AuSe3
1.0
-1.5560 2.0243 7.5325
-3.4741 -2.0777 -0.1592
8.7008 -14.9949 5.8270
Se Sm Au
12 8 4
direct
0.1624 0.7500 0.3891
0.9502 0.7500 0.9179
0.3376 0.2500 0.8891
0.6916 0.7500 0.7583
0.5498 0.2500 0.4179
0.8376 0.2500 0.6109
0.1916 0.7500 0.7417
0.6624 0.7500 0.1109
0.3084 0.2500 0.2417
0.0498 0.2500 0.0821
0.4502 0.7500 0.5821
0.8084 0.2500 0.2583
0.4533 0.2500 0.7035
0.5467 0.7500 0.2965
0.7250 0.2500 0.9985
0.2250 0.2500 0.5015
0.7750 0.7500 0.4985
0.2750 0.7500 0.0015
0.9533 0.2500 0.7965
0.0467 0.7500 0.2035
0.9309 0.2500 0.3938
0.5691 0.7500 0.8938
0.0691 0.7500 0.6062
0.4309 0.2500 0.1062
```

Calculated values
Total DFT energy (no corrections), eV/atom: -5.23
Crystal system: orthorhombic


(4)
Entry from the Open Quantum Materials Database: a geometry-optimized BaZrSn structure (PBE).

```
BaZrSn
1.0
0.0000 3.8251 3.8251
3.8251 0.0000 3.8251
3.8251 3.8251 0.0000
Ba Zr Sn
1 1 1
direct
0.0000 0.0000 0.0000
0.7500 0.7500 0.7500
0.2500 0.2500 0.2500
```

Calculated values
Total DFT energy (no corrections), eV/atom: -3.89
Crystal system: cubic


(5)
Entry from the Open Quantum Materials Database: a geometry-optimized Y2Ho2NCl5 structure (PBE).

```
Y2Ho2NCl5
1.0
8.3741 -1.8226 0.0000
8.3741 1.8226 0.0000
-1.8500 0.0000 7.5091
Cl Ho Y N
5 2 2 1
direct
0.1646 0.1646 0.3425
0.1720 0.1720 0.8351
0.8354 0.8354 0.6575
0.5000 0.5000 0.5000
0.8280 0.8280 0.1649
0.6425 0.6425 0.0782
0.3575 0.3575 0.9218
0.9987 0.9987 0.2076
0.0013 0.0013 0.7924
0.5000 0.5000 0.0000
```

Calculated values
Total DFT energy (no corrections), eV/atom: -5.82
Crystal system: monoclinic


(6)
Entry from the Open Quantum Materials Database: a geometry-optimized FeHgGeSe3 structure (PBE).

```
FeHgGeSe3
1.0
-0.3471 0.5431 -4.0980
1.0456 -5.4235 -0.7385
-12.7892 -2.5668 0.7430
Se Ge Hg Fe
6 2 2 2
direct
0.6640 0.6892 0.6016
0.3359 0.3107 0.1016
0.3359 0.3107 0.3984
0.6640 0.6892 0.8984
0.0146 0.1747 0.7500
0.9856 0.8254 0.2500
0.9376 0.3765 0.2500
0.0624 0.6236 0.7500
0.0000 0.0000 0.0000
0.0000 0.0000 0.5000
0.5054 0.0757 0.2500
0.4947 0.9244 0.7500
```

Calculated values
Total DFT energy (no corrections), eV/atom: -4.05
Crystal system: monoclinic


(7)
Entry from the Open Quantum Materials Database: a geometry-optimized GdTmGa2 structure (PBE).

```
GdTmGa2
1.0
-1.7306 0.9316 4.8553
5.9170 -1.6955 2.4344
-1.7925 6.1089 -1.8111
Tm Gd Ga
2 2 4
direct
0.7500 0.7063 0.8495
0.2500 0.8495 0.7063
0.7500 0.6627 0.2970
0.2500 0.2970 0.6627
0.7500 0.1991 0.3285
0.2500 0.3285 0.1991
0.2500 0.8085 0.1484
0.7500 0.1484 0.8085
```

Calculated values
Total DFT energy (no corrections), eV/atom: -4.13
Crystal system: orthorhombic


(8)
Entry from the Open Quantum Materials Database: a geometry-optimized HgPPt5 structure (PBE).

```
HgPPt5
1.0
3.9754 0.0000 0.0000
0.0000 3.9754 0.0000
0.0000 0.0000 7.2443
Hg Pt P
1 5 1
direct
0.0000 0.0000 0.0000
0.5000 0.0000 0.6971
0.5000 0.0000 0.3029
0.5000 0.5000 0.0000
0.0000 0.5000 0.3029
0.0000 0.5000 0.6971
0.5000 0.5000 0.5000
```

Calculated values
Total DFT energy (no corrections), eV/atom: -5.35
Crystal system: tetragonal